1.
{
  "formula": "Cu9P8O32",
  "functional": "PBE",
  "state": "optimized geometry",
  "magmom_total_mub_per_cell": 2.8,
  "dos_ef_per_ev_atom": 0.194,
  "raw_formation_energy_mev_per_atom": -1407,
  "space_group": "P-1",
  "e_tot_ha_per_atom": -0.23082,
  "cell": [[8.812, -0.018, -0.020], [-2.575, 8.596, 0.001], [-1.522, -3.945, 8.160]],
  "species": ["O", "O", "O", "P", "Cu", "O", "O", "Cu", "Cu", "O", "O", "Cu", "O", "Cu", "O", "O", "O", "O", "O", "O", "P", "O", "P", "Cu", "P", "O", "O", "O", "P", "O", "O", "P", "O", "P", "O", "O", "P", "O", "O", "O", "Cu", "Cu", "O", "O", "Cu", "O", "O", "O", "O"],
  "frac_coords": [[0.839, 0.838, 0.588], [0.288, 0.485, 0.043], [0.441, 0.115, 0.433], [0.403, 0.929, 0.287], [0.500, 0.500, 0.000], [0.799, 0.534, 0.706], [0.598, 0.413, 0.412], [0.000, 0.000, 0.000], [0.353, 0.686, 0.447], [0.067, 0.885, 0.824], [0.712, 0.515, 0.957], [0.284, 0.108, 0.559], [0.845, 0.459, 0.288], [0.000, 0.500, 0.500], [0.570, 0.912, 0.279], [0.415, 0.757, 0.893], [0.430, 0.088, 0.721], [0.597, 0.555, 0.226], [0.155, 0.541, 0.712], [0.161, 0.162, 0.412], [0.971, 0.118, 0.350], [0.307, 0.928, 0.130], [0.166, 0.377, 0.104], [0.792, 0.276, 0.069], [0.351, 0.581, 0.736], [0.933, 0.115, 0.176], [0.186, 0.200, 0.061], [0.403, 0.445, 0.774], [0.834, 0.623, 0.896], [0.201, 0.466, 0.294], [0.585, 0.243, 0.107], [0.029, 0.882, 0.650], [0.814, 0.800, 0.939], [0.597, 0.071, 0.713], [0.284, 0.793, 0.324], [0.912, 0.258, 0.451], [0.649, 0.419, 0.264], [0.013, 0.653, 0.985], [0.880, 0.939, 0.343], [0.987, 0.347, 0.015], [0.716, 0.892, 0.441], [0.208, 0.724, 0.931], [0.716, 0.207, 0.676], [0.402, 0.587, 0.588], [0.647, 0.314, 0.553], [0.120, 0.061, 0.657], [0.693, 0.072, 0.870], [0.088, 0.742, 0.549], [0.559, 0.885, 0.567]]
}

---

2.
{
  "formula": "Cu2P3O10",
  "functional": "PBE",
  "state": "optimized geometry",
  "magmom_total_mub_per_cell": 6.0,
  "dos_ef_per_ev_atom": 0.371,
  "raw_formation_energy_mev_per_atom": -1581,
  "space_group": "P2_1/m",
  "e_tot_ha_per_atom": -0.23941,
  "cell": [[8.303, 0.000, 0.000], [0.000, 4.802, 0.020], [0.000, 2.022, 9.015]],
  "species": ["P", "O", "Cu", "Cu", "O", "O", "O", "O", "Cu", "O", "O", "O", "O", "O", "O", "O", "P", "O", "P", "O", "O", "O", "O", "O", "P", "P", "O", "O", "P", "Cu"],
  "frac_coords": [[0.250, 0.312, 0.177], [0.094, 0.149, 0.191], [0.436, 0.076, 0.681], [0.936, 0.924, 0.319], [0.750, 0.460, 0.720], [0.906, 0.851, 0.809], [0.904, 0.655, 0.177], [0.750, 0.715, 0.446], [0.064, 0.076, 0.681], [0.596, 0.250, 0.535], [0.406, 0.149, 0.191], [0.096, 0.750, 0.465], [0.250, 0.540, 0.280], [0.594, 0.851, 0.809], [0.404, 0.750, 0.465], [0.096, 0.345, 0.823], [0.750, 0.688, 0.823], [0.250, 0.815, 0.760], [0.250, 0.496, 0.850], [0.596, 0.655, 0.177], [0.250, 0.285, 0.554], [0.750, 0.185, 0.240], [0.404, 0.345, 0.823], [0.904, 0.250, 0.535], [0.750, 0.414, 0.555], [0.750, 0.504, 0.150], [0.250, 0.534, 0.020], [0.750, 0.466, 0.980], [0.250, 0.586, 0.445], [0.564, 0.924, 0.319]]
}

---

3.
{
  "formula": "Cu5P2O10",
  "functional": "PBE",
  "state": "optimized geometry",
  "magmom_total_mub_per_cell": 1.0,
  "dos_ef_per_ev_atom": 0.118,
  "raw_formation_energy_mev_per_atom": -1236,
  "space_group": "P-1",
  "e_tot_ha_per_atom": -0.22029,
  "cell": [[5.357, -0.002, 0.015], [-2.055, 4.957, -0.010], [0.131, -1.076, 7.675]],
  "species": ["O", "O", "O", "Cu", "P", "Cu", "O", "Cu", "Cu", "Cu", "O", "O", "O", "P", "O", "O", "O"],
  "frac_coords": [[0.812, 0.900, 0.602], [0.953, 0.683, 0.115], [0.373, 0.250, 0.112], [0.883, 0.751, 0.361], [0.445, 0.159, 0.285], [0.284, 0.622, 0.052], [0.627, 0.750, 0.888], [0.716, 0.378, 0.948], [0.000, 0.000, 0.000], [0.117, 0.249, 0.639], [0.188, 0.100, 0.398], [0.311, 0.618, 0.616], [0.505, 0.898, 0.236], [0.555, 0.841, 0.715], [0.495, 0.102, 0.764], [0.689, 0.382, 0.384], [0.047, 0.317, 0.885]]
}

---

4.
{
  "formula": "Cu5P2O12",
  "functional": "PBE",
  "state": "optimized geometry",
  "magmom_total_mub_per_cell": 1.5,
  "dos_ef_per_ev_atom": 0.328,
  "raw_formation_energy_mev_per_atom": -1034,
  "space_group": "P2_1/c",
  "e_tot_ha_per_atom": -0.21363,
  "de_polymorph_mev_per_atom": 0,
  "cell": [[10.387, 0.000, 0.000], [0.000, 4.613, 0.019], [0.000, 0.481, 8.910]],
  "species": ["P", "O", "O", "Cu", "Cu", "O", "P", "O", "Cu", "O", "O", "O", "O", "O", "P", "O", "O", "O", "O", "O", "Cu", "O", "Cu", "O", "O", "O", "O", "Cu", "Cu", "O", "Cu", "Cu", "O", "O", "P", "O", "Cu", "O"],
  "frac_coords": [[0.806, 0.480, 0.111], [0.295, 0.337, 0.982], [0.216, 0.741, 0.292], [0.070, 0.953, 0.364], [0.000, 0.000, 0.000], [0.886, 0.665, 0.210], [0.306, 0.520, 0.389], [0.114, 0.335, 0.790], [0.930, 0.047, 0.636], [0.620, 0.300, 0.498], [0.205, 0.337, 0.482], [0.080, 0.866, 0.574], [0.912, 0.866, 0.832], [0.795, 0.663, 0.518], [0.694, 0.480, 0.611], [0.614, 0.665, 0.710], [0.705, 0.663, 0.018], [0.088, 0.134, 0.168], [0.920, 0.134, 0.426], [0.880, 0.300, 0.998], [0.570, 0.047, 0.136], [0.580, 0.134, 0.926], [0.500, 0.000, 0.500], [0.420, 0.866, 0.074], [0.284, 0.741, 0.792], [0.120, 0.700, 0.002], [0.588, 0.866, 0.332], [0.763, 0.965, 0.367], [0.263, 0.035, 0.133], [0.412, 0.134, 0.668], [0.430, 0.953, 0.864], [0.737, 0.965, 0.867], [0.386, 0.335, 0.290], [0.716, 0.259, 0.208], [0.194, 0.520, 0.889], [0.784, 0.259, 0.708], [0.237, 0.035, 0.633], [0.380, 0.700, 0.502]]
}

---

5.
{
  "formula": "CuPO5",
  "functional": "PBE",
  "state": "optimized geometry",
  "magmom_total_mub_per_cell": 8.1,
  "dos_ef_per_ev_atom": 0.342,
  "raw_formation_energy_mev_per_atom": -900,
  "space_group": "P2_1/c",
  "e_tot_ha_per_atom": -0.21315,
  "de_polymorph_mev_per_atom": 165,
  "cell": [[-1.935, 4.179, -6.015], [-0.169, -5.096, -3.486], [-7.871, -1.569, 1.443]],
  "species": ["O", "O", "O", "O", "O", "O", "Cu", "Cu", "O", "P", "O", "O", "O", "O", "O", "O", "Cu", "O", "O", "Cu", "O", "O", "O", "O", "P", "P", "P", "O"],
  "frac_coords": [[0.416, 0.242, 0.601], [0.406, 0.772, 0.694], [0.567, 0.226, 0.838], [0.433, 0.774, 0.162], [0.716, 0.027, 0.615], [0.284, 0.973, 0.385], [0.000, 0.500, 0.000], [0.000, 0.000, 0.000], [0.906, 0.228, 0.806], [0.728, 0.230, 0.718], [0.067, 0.774, 0.662], [0.933, 0.226, 0.338], [0.718, 0.448, 0.604], [0.094, 0.772, 0.194], [0.216, 0.973, 0.885], [0.282, 0.552, 0.396], [0.500, 0.500, 0.500], [0.782, 0.448, 0.104], [0.584, 0.758, 0.399], [0.500, 0.000, 0.500], [0.084, 0.242, 0.101], [0.594, 0.228, 0.306], [0.916, 0.758, 0.899], [0.784, 0.027, 0.115], [0.228, 0.770, 0.782], [0.772, 0.230, 0.218], [0.272, 0.770, 0.282], [0.218, 0.552, 0.896]]
}

---

6.
{
  "formula": "Cu5P2O12",
  "functional": "PBE",
  "state": "optimized geometry",
  "magmom_total_mub_per_cell": 0.0,
  "dos_ef_per_ev_atom": 0.383,
  "raw_formation_energy_mev_per_atom": -891,
  "space_group": "C2/m",
  "e_tot_ha_per_atom": -0.20836,
  "de_polymorph_mev_per_atom": 143,
  "cell": [[6.279, 0.000, 0.000], [-3.140, 4.367, -1.820], [0.000, 0.790, 8.795]],
  "species": ["Cu", "O", "O", "Cu", "O", "Cu", "O", "O", "O", "O", "O", "O", "P", "Cu", "P", "O", "O", "Cu", "O"],
  "frac_coords": [[0.280, 0.560, 0.737], [0.845, 0.277, 0.096], [0.048, 0.095, 0.894], [0.623, 0.246, 0.600], [0.155, 0.723, 0.904], [0.377, 0.754, 0.400], [0.952, 0.905, 0.106], [0.342, 0.292, 0.606], [0.569, 0.723, 0.904], [0.431, 0.277, 0.096], [0.950, 0.292, 0.606], [0.050, 0.708, 0.394], [0.814, 0.000, 0.000], [0.720, 0.440, 0.263], [0.186, 0.000, 0.000], [0.568, 0.137, 0.372], [0.432, 0.863, 0.628], [0.000, 0.000, 0.500], [0.658, 0.708, 0.394]]
}